This record from the Alexandria database describes La12Pr3Th after structural relaxation. The functional is PBE.

Spin magnetization, μB/cell: 0.00
Final energy, eV/atom: -5.043

Cell: 5.2387 5.2387 21.0275 Å, 90.00 90.00 90.00°
Space group P4/mmm (No. 123)
Unique sites:
1 La 0.0000 0.0000 0.0000 [1 per cell]
2 La 0.0000 0.0000 0.2486 [2 per cell]
3 La 0.0000 0.0000 0.5000 [1 per cell]
4 La 0.0000 0.5000 0.1258 [4 per cell]
5 La 0.0000 0.5000 0.3803 [4 per cell]
6 Pr 0.5000 0.5000 0.0000 [1 per cell]
7 Pr 0.5000 0.5000 0.2499 [2 per cell]
8 Th 0.5000 0.5000 0.5000 [1 per cell]

---

This record from the Alexandria database describes La6Pr10Th after structural relaxation. The functional is PBE.

Spin magnetization, μB/cell: 0.00
Final energy, eV/atom: -4.851

Cell: 9.9621 9.9621 7.2619 Å, 90.00 90.00 120.00°
Space group P-31m (No. 162)
Unique sites:
1 La 0.0000 0.3714 0.1953 [6 per cell]
2 Pr 0.0000 0.2685 0.6806 [6 per cell]
3 Pr 0.3333 0.6667 0.0000 [2 per cell]
4 Pr 0.3333 0.6667 0.5000 [2 per cell]
5 Th 0.0000 0.0000 0.0000 [1 per cell]

---

This record from the Alexandria database describes La8PrTh4 after structural relaxation. The functional is PBE.

Spin magnetization, μB/cell: 0.00
Final energy, eV/atom: -5.179

Cell: 11.3354 11.3354 13.8543 Å, 90.00 90.00 120.00°
Space group R-3m (No. 166, hexagonal axes)
Unique sites:
1 La 0.0000 0.0000 0.2373 [6 per cell]
2 La 0.0164 0.5082 0.7454 [18 per cell]
3 Pr 0.0000 0.0000 0.5000 [3 per cell]
4 Th 0.0000 0.0000 0.0000 [3 per cell]
5 Th 0.0000 0.5000 0.0000 [9 per cell]

---

This record from the Alexandria database describes La2Pr2Th15 after structural relaxation. The functional is PBE.

Spin magnetization, μB/cell: 0.00
Final energy, eV/atom: -6.624

Cell: 11.5816 11.5816 17.1857 Å, 90.00 90.00 120.00°
Space group R-3m (No. 166, hexagonal axes)
Unique sites:
1 La 0.0000 0.0000 0.1048 [6 per cell]
2 Pr 0.0000 0.0000 0.3576 [6 per cell]
3 Th 0.0000 0.3137 0.0000 [18 per cell]
4 Th 0.0000 0.5000 0.5000 [9 per cell]
5 Th 0.0115 0.5058 0.1658 [18 per cell]